(1)
# Ni13Pt2 PBE optimized geometry
data_Ni13Pt2
_symmetry_space_group_name_H-M 'P 1'
_symmetry_Int_Tables_number 1
_cell_length_a 4.3733
_cell_length_b 6.6447
_cell_length_c 7.9876
_cell_angle_alpha 126.63
_cell_angle_beta 100.39
_cell_angle_gamma 90.83
loop_
_symmetry_equiv_pos_as_xyz
'x,y,z'
loop_
_atom_site_label
_atom_site_type_symbol
_atom_site_fract_x
_atom_site_fract_y
_atom_site_fract_z
_atom_site_occupancy
Pt1 Pt 0.8640 0.8629 0.6203 1
Pt2 Pt 0.1360 0.1371 0.3797 1
Ni1 Ni 0.1865 0.6834 0.0577 1
Ni2 Ni 0.3089 0.8021 0.4306 1
Ni3 Ni 0.2575 0.2546 0.7573 1
Ni4 Ni 0.0647 0.5653 0.6931 1
Ni5 Ni 0.6911 0.1979 0.5694 1
Ni6 Ni 0.4369 0.9363 0.8168 1
Ni7 Ni 0.0000 0.0000 0.0000 1
Ni8 Ni 0.5631 0.0637 0.1832 1
Ni9 Ni 0.7425 0.7454 0.2427 1
Ni10 Ni 0.8135 0.3166 0.9423 1
Ni11 Ni 0.3769 0.3772 0.1282 1
Ni12 Ni 0.9353 0.4347 0.3069 1
Ni13 Ni 0.6231 0.6228 0.8718 1
# Energy relative to the elements: 0.05 eV per atom
# Symmetry: P-1 (2)
# DOS(E_F): 1.4391 states/eV/atom
# Uncorrected energy: -5.765 eV/atom

(2)
# K2FeTe PBE optimized geometry
data_K2FeTe
_symmetry_space_group_name_H-M 'P 1'
_symmetry_Int_Tables_number 1
_cell_length_a 5.0505
_cell_length_b 5.0055
_cell_length_c 5.0055
_cell_angle_alpha 90.00
_cell_angle_beta 90.00
_cell_angle_gamma 90.00
loop_
_symmetry_equiv_pos_as_xyz
'x,y,z'
loop_
_atom_site_label
_atom_site_type_symbol
_atom_site_fract_x
_atom_site_fract_y
_atom_site_fract_z
_atom_site_occupancy
Fe1 Fe 0.5000 0.0000 0.5000 1
Te1 Te 0.5000 0.5000 0.0000 1
K1 K 0.0000 0.0000 0.0000 1
K2 K 0.0000 0.5000 0.5000 1
# ΔE_f (raw): 0.28 eV per atom
# Symmetry: P4/mmm (123)
# DOS(E_F): 1.9637 states/eV/atom
# Uncorrected energy: -3.169 eV/atom

(3)
# Ba2LaIn PBE optimized geometry
data_Ba2LaIn
_symmetry_space_group_name_H-M 'P 1'
_symmetry_Int_Tables_number 1
_cell_length_a 7.6344
_cell_length_b 7.6344
_cell_length_c 6.2318
_cell_angle_alpha 65.89
_cell_angle_beta 65.89
_cell_angle_gamma 32.22
loop_
_symmetry_equiv_pos_as_xyz
'x,y,z'
loop_
_atom_site_label
_atom_site_type_symbol
_atom_site_fract_x
_atom_site_fract_y
_atom_site_fract_z
_atom_site_occupancy
Ba1 Ba 0.7882 0.7882 0.7124 1
Ba2 Ba 0.9962 0.9962 0.0036 1
In1 In 0.5137 0.5137 0.4856 1
La1 La 0.2020 0.2020 0.2985 1
# Energy relative to the elements: -0.13 eV per atom
# Symmetry: Cm (8)
# DOS(E_F): 1.2310 states/eV/atom
# Uncorrected energy: -3.009 eV/atom

(4)
# PuSc2Se PBE optimized geometry
data_PuSc2Se
_symmetry_space_group_name_H-M 'P 1'
_symmetry_Int_Tables_number 1
_cell_length_a 3.5320
_cell_length_b 3.5320
_cell_length_c 9.1162
_cell_angle_alpha 78.83
_cell_angle_beta 78.83
_cell_angle_gamma 60.00
loop_
_symmetry_equiv_pos_as_xyz
'x,y,z'
loop_
_atom_site_label
_atom_site_type_symbol
_atom_site_fract_x
_atom_site_fract_y
_atom_site_fract_z
_atom_site_occupancy
Se1 Se 0.6667 0.6667 0.0000 1
Sc1 Sc 0.0662 0.0662 0.8013 1
Sc2 Sc 0.2670 0.2670 0.1989 1
Pu1 Pu 0.5001 0.5001 0.4998 1
# ΔE_f (raw): -0.63 eV per atom
# Symmetry: R3m (160)
# DOS(E_F): 2.3335 states/eV/atom
# E above lowest polymorph: 0.00 eV/f.u.
# Uncorrected energy: -8.254 eV/atom

(5)
# ZrAgAs2 PBE optimized geometry
data_ZrAgAs2
_symmetry_space_group_name_H-M 'P 1'
_symmetry_Int_Tables_number 1
_cell_length_a 7.2603
_cell_length_b 7.2603
_cell_length_c 6.0078
_cell_angle_alpha 52.83
_cell_angle_beta 52.83
_cell_angle_gamma 90.00
loop_
_symmetry_equiv_pos_as_xyz
'x,y,z'
loop_
_atom_site_label
_atom_site_type_symbol
_atom_site_fract_x
_atom_site_fract_y
_atom_site_fract_z
_atom_site_occupancy
As1 As 0.1149 0.6250 0.2500 1
As2 As 0.6351 0.1250 0.2500 1
As3 As 0.3750 0.3649 0.7500 1
As4 As 0.8750 0.8851 0.7500 1
Zr1 Zr 0.5000 0.5000 0.0000 1
Zr2 Zr 0.2500 0.7500 0.5000 1
Ag1 Ag 0.7500 0.2500 0.5000 1
Ag2 Ag 0.0000 0.0000 0.0000 1
# Energy relative to the elements: -0.16 eV per atom
# Symmetry: I-42d (122)
# DOS(E_F): 0.6425 states/eV/atom
# Uncorrected energy: -5.330 eV/atom

(6)
# YNbSi2Tc PBE optimized geometry
data_YNbSi2Tc
_symmetry_space_group_name_H-M 'P 1'
_symmetry_Int_Tables_number 1
_cell_length_a 4.0216
_cell_length_b 4.0216
_cell_length_c 6.2468
_cell_angle_alpha 108.78
_cell_angle_beta 108.78
_cell_angle_gamma 90.00
loop_
_symmetry_equiv_pos_as_xyz
'x,y,z'
loop_
_atom_site_label
_atom_site_type_symbol
_atom_site_fract_x
_atom_site_fract_y
_atom_site_fract_z
_atom_site_occupancy
Si1 Si 0.6078 0.6078 0.2156 1
Si2 Si 0.3922 0.3922 0.7844 1
Y1 Y 0.0000 0.0000 0.0000 1
Tc1 Tc 0.7500 0.2500 0.5000 1
Nb1 Nb 0.2500 0.7500 0.5000 1
# ΔE_f (raw): -0.65 eV per atom
# Symmetry: I-4m2 (119)
# DOS(E_F): 0.5290 states/eV/atom
# Uncorrected energy: -8.201 eV/atom

(7)
# PmThTl3 PBE optimized geometry
data_PmThTl3
_symmetry_space_group_name_H-M 'P 1'
_symmetry_Int_Tables_number 1
_cell_length_a 9.9416
_cell_length_b 7.7636
_cell_length_c 8.0807
_cell_angle_alpha 90.00
_cell_angle_beta 90.00
_cell_angle_gamma 90.00
loop_
_symmetry_equiv_pos_as_xyz
'x,y,z'
loop_
_atom_site_label
_atom_site_type_symbol
_atom_site_fract_x
_atom_site_fract_y
_atom_site_fract_z
_atom_site_occupancy
Tl1 Tl 0.3620 0.7167 0.2500 1
Tl2 Tl 0.1380 0.2167 0.7500 1
Tl3 Tl 0.1915 0.8381 0.5605 1
Tl4 Tl 0.6915 0.6619 0.9395 1
Tl5 Tl 0.8620 0.7833 0.2500 1
Tl6 Tl 0.3085 0.3381 0.4395 1
Tl7 Tl 0.8085 0.1619 0.4395 1
Tl8 Tl 0.1915 0.8381 0.9395 1
Tl9 Tl 0.8085 0.1619 0.0605 1
Tl10 Tl 0.6915 0.6619 0.5605 1
Tl11 Tl 0.3085 0.3381 0.0605 1
Tl12 Tl 0.6380 0.2833 0.7500 1
Pm1 Pm 0.0000 0.5000 0.0000 1
Pm2 Pm 0.5000 0.0000 0.5000 1
Pm3 Pm 0.0000 0.5000 0.5000 1
Pm4 Pm 0.5000 0.0000 0.0000 1
Th1 Th 0.5995 0.4300 0.2500 1
Th2 Th 0.4005 0.5700 0.7500 1
Th3 Th 0.9005 0.9300 0.7500 1
Th4 Th 0.0995 0.0700 0.2500 1
# Energy relative to the elements: -0.05 eV per atom
# Symmetry: Pnma (62)
# DOS(E_F): 0.7788 states/eV/atom
# Uncorrected energy: -3.900 eV/atom

(8)
# Ca2LaRh PBE optimized geometry
data_Ca2LaRh
_symmetry_space_group_name_H-M 'P 1'
_symmetry_Int_Tables_number 1
_cell_length_a 3.5055
_cell_length_b 4.9372
_cell_length_c 6.2488
_cell_angle_alpha 90.00
_cell_angle_beta 90.00
_cell_angle_gamma 90.00
loop_
_symmetry_equiv_pos_as_xyz
'x,y,z'
loop_
_atom_site_label
_atom_site_type_symbol
_atom_site_fract_x
_atom_site_fract_y
_atom_site_fract_z
_atom_site_occupancy
Ca1 Ca 0.0000 0.0000 0.5257 1
Ca2 Ca 0.0000 0.0000 0.9743 1
Rh1 Rh 0.5000 0.5000 0.7500 1
La1 La 0.5000 0.5000 0.2500 1
# Energy relative to the elements: 0.06 eV per atom
# Symmetry: Pmmm (47)
# DOS(E_F): 1.0266 states/eV/atom
# E above lowest polymorph: 1.87 eV/f.u.
# Uncorrected energy: -4.014 eV/atom

(9)
# LiPmYTe3 PBE optimized geometry
data_LiPmYTe3
_symmetry_space_group_name_H-M 'P 1'
_symmetry_Int_Tables_number 1
_cell_length_a 4.2708
_cell_length_b 8.9777
_cell_length_c 9.5190
_cell_angle_alpha 103.68
_cell_angle_beta 90.00
_cell_angle_gamma 90.00
loop_
_symmetry_equiv_pos_as_xyz
'x,y,z'
loop_
_atom_site_label
_atom_site_type_symbol
_atom_site_fract_x
_atom_site_fract_y
_atom_site_fract_z
_atom_site_occupancy
Te1 Te 0.7500 0.2327 0.4998 1
Te2 Te 0.2500 0.0910 0.8760 1
Te3 Te 0.2500 0.7673 0.5002 1
Te4 Te 0.7500 0.9090 0.1240 1
Te5 Te 0.2500 0.5705 0.8241 1
Te6 Te 0.7500 0.4295 0.1759 1
Y1 Y 0.7500 0.3324 0.8399 1
Y2 Y 0.2500 0.6676 0.1601 1
Pm1 Pm 0.2500 0.1886 0.2328 1
Pm2 Pm 0.7500 0.8114 0.7672 1
Li1 Li 0.7500 0.9150 0.4142 1
Li2 Li 0.2500 0.0850 0.5858 1
# ΔE_f (raw): -1.28 eV per atom
# Symmetry: P2_1/m (11)
# DOS(E_F): 0.4831 states/eV/atom
# Uncorrected energy: -5.044 eV/atom

(10)
# Pa4Co3Ni PBE optimized geometry
data_Pa4Co3Ni
_symmetry_space_group_name_H-M 'P 1'
_symmetry_Int_Tables_number 1
_cell_length_a 3.5327
_cell_length_b 3.8233
_cell_length_c 10.9999
_cell_angle_alpha 90.00
_cell_angle_beta 89.98
_cell_angle_gamma 90.00
loop_
_symmetry_equiv_pos_as_xyz
'x,y,z'
loop_
_atom_site_label
_atom_site_type_symbol
_atom_site_fract_x
_atom_site_fract_y
_atom_site_fract_z
_atom_site_occupancy
Pa1 Pa 0.4997 0.5000 0.3726 1
Pa2 Pa 0.5003 0.0000 0.6517 1
Pa3 Pa 0.0002 0.5000 0.8509 1
Pa4 Pa 0.9999 0.0000 0.1347 1
Co1 Co 0.5002 0.0000 0.9324 1
Co2 Co 0.9996 0.0000 0.3967 1
Co3 Co 0.0002 0.5000 0.5685 1
Ni1 Ni 0.4999 0.5000 0.0925 1
# Energy relative to the elements: -0.34 eV per atom
# Symmetry: Pmm2 (25)
# DOS(E_F): 1.2355 states/eV/atom
# Uncorrected energy: -8.473 eV/atom

(11)
# HfTa3Ir PBE optimized geometry
data_HfTa3Ir
_symmetry_space_group_name_H-M 'P 1'
_symmetry_Int_Tables_number 1
_cell_length_a 4.8530
_cell_length_b 4.8530
_cell_length_c 4.8530
_cell_angle_alpha 90.00
_cell_angle_beta 90.00
_cell_angle_gamma 90.00
loop_
_symmetry_equiv_pos_as_xyz
'x,y,z'
loop_
_atom_site_label
_atom_site_type_symbol
_atom_site_fract_x
_atom_site_fract_y
_atom_site_fract_z
_atom_site_occupancy
Hf1 Hf 0.5000 0.5000 0.5000 1
Ta1 Ta 0.5000 0.0000 0.0000 1
Ta2 Ta 0.0000 0.5000 0.0000 1
Ta3 Ta 0.0000 0.0000 0.5000 1
Ir1 Ir 0.0000 0.0000 0.0000 1
# Energy relative to the elements: 0.91 eV per atom
# Symmetry: Pm-3m (221)
# DOS(E_F): 1.4407 states/eV/atom
# E above lowest polymorph: 0.00 eV/f.u.
# Uncorrected energy: -9.967 eV/atom

(12)
# LaAg2Ir PBE optimized geometry
data_LaAg2Ir
_symmetry_space_group_name_H-M 'P 1'
_symmetry_Int_Tables_number 1
_cell_length_a 4.9088
_cell_length_b 4.9088
_cell_length_c 4.9088
_cell_angle_alpha 60.00
_cell_angle_beta 60.00
_cell_angle_gamma 60.00
loop_
_symmetry_equiv_pos_as_xyz
'x,y,z'
loop_
_atom_site_label
_atom_site_type_symbol
_atom_site_fract_x
_atom_site_fract_y
_atom_site_fract_z
_atom_site_occupancy
La1 La 0.0000 0.0000 0.0000 1
Ag1 Ag 0.2500 0.2500 0.2500 1
Ag2 Ag 0.7500 0.7500 0.7500 1
Ir1 Ir 0.5000 0.5000 0.5000 1
# Energy relative to the elements: 0.01 eV per atom
# Symmetry: Fm-3m (225)
# DOS(E_F): 0.7018 states/eV/atom
# E above lowest polymorph: 1.07 eV/f.u.
# Uncorrected energy: -4.866 eV/atom